# 1
This record from Alexandria describes crystalline NaLi2TlF6 at its relaxed geometry. The functional is GGA-PBE.

Structure (CIF):
```
data_NaLi2TlF6
_chemical_formula_sum 'Na3 Li6 Tl3 F18'
_symmetry_space_group_name_H-M 'R 3'
_symmetry_Int_Tables_number 146
_symmetry_space_group_name_Hall 'R 3'
_cell_length_a 5.4597
_cell_length_b 5.4597
_cell_length_c 14.6204
_cell_angle_alpha 90.00
_cell_angle_beta 90.00
_cell_angle_gamma 120.00
loop_
_atom_site_label
_atom_site_type_symbol
_atom_site_fract_x
_atom_site_fract_y
_atom_site_fract_z
Na1 Na 0.0000 0.0000 0.0000
Li1 Li 0.0000 0.0000 0.2857
Li2 Li 0.0000 0.0000 0.7823
Tl1 Tl 0.0000 0.0000 0.4934
F1 F 0.0082 0.3697 0.5535
F2 F 0.0137 0.6179 0.0558
```

E_tot ... -4.3441 eV per atom
E_form (uncorrected) ... -238.32 kJ/mol of atoms

# 2
This record from Alexandria describes crystalline TaCr2Os at its relaxed geometry. The functional is GGA-PBE.

Structure (CIF):
```
data_TaCr2Os
_chemical_formula_sum 'Ta1 Cr2 Os1'
_symmetry_space_group_name_H-M 'P m m m'
_symmetry_Int_Tables_number 47
_symmetry_space_group_name_Hall '-P 2 2'
_cell_length_a 3.073
_cell_length_b 4.323
_cell_length_c 4.335
_cell_angle_alpha 90.00
_cell_angle_beta 90.00
_cell_angle_gamma 90.00
loop_
_atom_site_label
_atom_site_type_symbol
_atom_site_fract_x
_atom_site_fract_y
_atom_site_fract_z
Ta1 Ta 0.000 0.000 0.000
Cr1 Cr 0.000 0.500 0.500
Cr2 Cr 0.500 0.000 0.500
Os1 Os 0.500 0.500 0.000
```

E_tot ... -10.6072 eV per atom
Distance to the lowest polymorph of the same formula ... 12 meV/atom
DFT formation energy ... -25 meV/atom

# 3
This record from Alexandria describes crystalline ZnReP2 at its relaxed geometry. The functional is GGA-PBE.

Structure (CIF):
```
data_ZnReP2
_chemical_formula_sum 'Zn1 Re1 P2'
_symmetry_space_group_name_H-M 'P 4/m m m'
_symmetry_Int_Tables_number 123
_symmetry_space_group_name_Hall '-P 4 2'
_cell_length_a 2.944
_cell_length_b 2.944
_cell_length_c 7.063
_cell_angle_alpha 90.00
_cell_angle_beta 90.00
_cell_angle_gamma 90.00
loop_
_atom_site_label
_atom_site_type_symbol
_atom_site_fract_x
_atom_site_fract_y
_atom_site_fract_z
Zn1 Zn 0.000 0.000 0.000
Re1 Re 0.000 0.000 0.500
P1 P 0.500 0.500 0.295
```

E_tot ... -6.0818 eV per atom
DFT formation energy ... 54 meV/atom

# 4
This record from Alexandria describes crystalline LaMg2Ru at its relaxed geometry. The functional is GGA-PBE.

Structure (CIF):
```
data_LaMg2Ru
_chemical_formula_sum 'La2 Mg4 Ru2'
_symmetry_space_group_name_H-M 'I 4/m m m'
_symmetry_Int_Tables_number 139
_symmetry_space_group_name_Hall '-I 4 2'
_cell_length_a 4.269
_cell_length_b 4.269
_cell_length_c 9.506
_cell_angle_alpha 90.00
_cell_angle_beta 90.00
_cell_angle_gamma 90.00
loop_
_atom_site_label
_atom_site_type_symbol
_atom_site_fract_x
_atom_site_fract_y
_atom_site_fract_z
La1 La 0.000 0.000 0.000
Mg1 Mg 0.000 0.500 0.250
Ru1 Ru 0.000 0.000 0.500
```

E_tot ... -4.3728 eV per atom
DFT formation energy ... -25 meV/atom

# 5
This record from Alexandria describes crystalline AcGdGaSi at its relaxed geometry. The functional is GGA-PBE.

Structure (CIF):
```
data_AcGdGaSi
_chemical_formula_sum 'Ac4 Gd4 Ga4 Si4'
_symmetry_space_group_name_H-M 'F -4 3 m'
_symmetry_Int_Tables_number 216
_symmetry_space_group_name_Hall 'F -4 2 3'
_cell_length_a 7.477
_cell_length_b 7.477
_cell_length_c 7.477
_cell_angle_alpha 90.00
_cell_angle_beta 90.00
_cell_angle_gamma 90.00
loop_
_atom_site_label
_atom_site_type_symbol
_atom_site_fract_x
_atom_site_fract_y
_atom_site_fract_z
Ac1 Ac 0.000 0.000 0.000
Gd1 Gd 0.000 0.000 0.500
Ga1 Ga 0.250 0.250 0.750
Si1 Si 0.250 0.250 0.250
```

E_tot ... -7.0747 eV per atom
E_form (uncorrected) ... -40.03 kJ/mol of atoms

# 6
This record from Alexandria describes crystalline Cs2SbIBr6 at its relaxed geometry. The functional is GGA-PBE.

Structure (CIF):
```
data_Cs2SbIBr6
_chemical_formula_sum 'Cs4 Sb2 I2 Br12'
_symmetry_space_group_name_H-M 'I 4/m m m'
_symmetry_Int_Tables_number 139
_symmetry_space_group_name_Hall '-I 4 2'
_cell_length_a 8.322
_cell_length_b 8.322
_cell_length_c 12.534
_cell_angle_alpha 90.00
_cell_angle_beta 90.00
_cell_angle_gamma 90.00
loop_
_atom_site_label
_atom_site_type_symbol
_atom_site_fract_x
_atom_site_fract_y
_atom_site_fract_z
Cs1 Cs 0.000 0.500 0.250
Sb1 Sb 0.000 0.000 0.000
I1 I 0.000 0.000 0.500
Br1 Br 0.000 0.000 0.218
Br2 Br 0.230 0.230 0.000
```

E_tot ... -2.6988 eV per atom
E_form (uncorrected) ... -92.34 kJ/mol of atoms
Distance to the lowest polymorph of the same formula ... 0 meV/atom

# 7
This record from Alexandria describes crystalline BeNO2F at its relaxed geometry. The functional is GGA-PBE.

Structure (CIF):
```
data_BeNO2F
_chemical_formula_sum 'Be1 N1 O2 F1'
_symmetry_space_group_name_H-M 'P 4/m m m'
_symmetry_Int_Tables_number 123
_symmetry_space_group_name_Hall '-P 4 2'
_cell_length_a 3.481
_cell_length_b 3.481
_cell_length_c 3.507
_cell_angle_alpha 90.00
_cell_angle_beta 90.00
_cell_angle_gamma 90.00
loop_
_atom_site_label
_atom_site_type_symbol
_atom_site_fract_x
_atom_site_fract_y
_atom_site_fract_z
Be1 Be 0.000 0.000 0.000
N1 N 0.500 0.500 0.500
O1 O 0.000 0.500 0.500
F1 F 0.500 0.500 0.000
```

E_tot ... -3.9260 eV per atom
E_form (uncorrected) ... 81.23 kJ/mol of atoms

# 8
This record from Alexandria describes crystalline PuPa3Ni8 at its relaxed geometry. The functional is GGA-PBE.

Structure (CIF):
```
data_PuPa3Ni8
_chemical_formula_sum 'Pu1 Pa3 Ni8'
_symmetry_space_group_name_H-M 'P 3 m 1'
_symmetry_Int_Tables_number 156
_symmetry_space_group_name_Hall 'P 3 -2"'
_cell_length_a 4.9820
_cell_length_b 4.9820
_cell_length_c 8.3870
_cell_angle_alpha 90.00
_cell_angle_beta 90.00
_cell_angle_gamma 120.00
loop_
_atom_site_label
_atom_site_type_symbol
_atom_site_fract_x
_atom_site_fract_y
_atom_site_fract_z
Pu1 Pu 0.0000 0.0000 0.0000
Pa1 Pa 0.0000 0.0000 0.3738
Pa2 Pa 0.6667 0.3333 0.5179
Pa3 Pa 0.6667 0.3333 0.9134
Ni1 Ni 0.0039 0.5019 0.2040
Ni2 Ni 0.1679 0.3358 0.6978
Ni3 Ni 0.3333 0.6667 0.4532
Ni4 Ni 0.3333 0.6667 0.9479
```

E_tot ... -7.8165 eV per atom
Distance to the lowest polymorph of the same formula ... 0 meV/atom
DFT formation energy ... -394 meV/atom